VASP calculation (PBE) on crystalline LiHg3P at its relaxed geometry.

Geometry as CIF:
```
data_LiHg3P
_chemical_formula_sum 'Li1 Hg3 P1'
_space_group_name_H-M_alt 'P m -3 m'
_space_group_IT_number 221
_space_group_name_Hall '-P 4 2 3'
_cell_length_a 5.034
_cell_length_b 5.034
_cell_length_c 5.034
_cell_angle_alpha 90.00
_cell_angle_beta 90.00
_cell_angle_gamma 90.00
loop_
_atom_site_label
_atom_site_type_symbol
_atom_site_fract_x
_atom_site_fract_y
_atom_site_fract_z
Li1 Li 0.000 0.000 0.000
Hg1 Hg 0.000 0.000 0.500
P1 P 0.500 0.500 0.500
```

Results
Total moment = 2.01 μB/f.u.
ΔE_f = 518 meV/atom
Total DFT energy (no corrections) = -1.13 eV per atom
Energy relative to the lowest polymorph listed for this composition = 0.272 eV/atom